Y2ScTl9 | GGA-PBE | optimized geometry

Computed properties:
E_form: -0.1976 eV per atom
DFT total energy: -3.5773 eV/atom
total moment: 0.0 μB/cell

Cell lengths 4.745, 4.745, 14.219 Å; angles 90.00, 90.00, 90.00 degrees
Space group P4/mmm (No. 123)
One atom of each set of equivalent atoms:
1 Y 0.000 0.000 0.169 (multiplicity 2)
2 Sc 0.000 0.000 0.500 (multiplicity 1)
3 Tl 0.000 0.500 0.000 (multiplicity 2)
4 Tl 0.000 0.500 0.339 (multiplicity 4)
5 Tl 0.500 0.500 0.168 (multiplicity 2)
6 Tl 0.500 0.500 0.500 (multiplicity 1)